(1)
This record from Alexandria describes a relaxed CrFeRh2 crystal. The functional is PBE.

a = 2.750 Å, b = 3.549 Å, c = 5.458 Å
α = 90.00°, β = 90.00°, γ = 90.00°
Space group Pmmm (No. 47)
Asymmetric unit:
1 Cr 0.000 0.000 0.000 [1 per cell]
2 Fe 0.000 0.000 0.500 [1 per cell]
3 Rh 0.500 0.500 0.248 [2 per cell]

* theoretical density: 9.776 g cm⁻³
* spin magnetization: 1.52 μB/cell
* ΔE_f: -79 meV/atom

---

(2)
This record from Alexandria describes a relaxed Tl2PtBr crystal. The functional is PBE.

a = 3.977 Å, b = 5.425 Å, c = 5.425 Å
α = 90.00°, β = 90.23°, γ = 90.00°
Space group P2/m (No. 10)
Asymmetric unit:
1 Tl 0.000 0.000 0.000 [1 per cell]
2 Tl 0.000 0.500 0.500 [1 per cell]
3 Pt 0.000 0.000 0.500 [1 per cell]
4 Br 0.500 0.500 0.000 [1 per cell]

* energy above the most stable polymorph in this dataset: 8 meV/atom
* uncorrected formation energy: -222 meV per atom
* theoretical density: 9.700 g cm⁻³
* spin magnetization: 0.00 μB/cell

---

- Number 2 is which compound?
  Tl2PtBr

---

Repeat the second record exactly.
This record from Alexandria describes a relaxed Tl2PtBr crystal. The functional is PBE.

a = 3.977 Å, b = 5.425 Å, c = 5.425 Å
α = 90.00°, β = 90.23°, γ = 90.00°
Space group P2/m (No. 10)
Asymmetric unit:
1 Tl 0.000 0.000 0.000 [1 per cell]
2 Tl 0.000 0.500 0.500 [1 per cell]
3 Pt 0.000 0.000 0.500 [1 per cell]
4 Br 0.500 0.500 0.000 [1 per cell]

* energy above the most stable polymorph in this dataset: 8 meV/atom
* uncorrected formation energy: -222 meV per atom
* theoretical density: 9.700 g cm⁻³
* spin magnetization: 0.00 μB/cell